A plane-wave DFT calculation with PBE-GGA was carried out for a relaxed structure of NiGeAsOs2.

a b c (Å): 4.548 4.756 4.548
angles (deg): 90.00 90.00 90.00
Each line ends with the local moment (μB).
Fractional positions:
Ni 0.500 0.500 0.500  0.82
As 0.000 0.500 0.000  -0.02
Os 0.000 0.000 0.500  0.44
Os 0.500 0.000 0.000  0.51
Ge 0.000 0.000 0.000  -0.01

- size of the total moment (μB/f.u.) = 1.7
- calculated formation energy (eV per formula unit) = 9.39

A plane-wave DFT calculation with PBE-GGA was carried out for a relaxed structure of NiGeAsP2.

a b c (Å): 4.599 4.888 4.599
angles (deg): 90.00 90.00 90.00
Fractional positions:
Ni 0.500 0.500 0.500
As 0.000 0.500 0.000
Ge 0.000 0.000 0.000
P 0.000 0.000 0.500
P 0.500 0.000 0.000

- size of the total moment (μB/f.u.) = 0.0
- calculated formation energy (eV per formula unit) = 6.31

A plane-wave DFT calculation with PBE-GGA was carried out for a relaxed structure of PaNi7Ge2As2.

a b c (Å): 3.922 3.922 11.813
angles (deg): 80.44 80.44 88.56
Fractional positions:
Pa 0.000 0.000 0.000
Ni 0.500 0.500 0.000
Ni 0.244 0.244 0.498
Ni 0.756 0.756 0.502
Ni 0.920 0.421 0.160
Ni 0.421 0.920 0.160
Ni 0.579 0.080 0.840
Ni 0.080 0.579 0.840
Ge 0.581 0.581 0.336
Ge 0.419 0.419 0.664
As 0.921 0.921 0.667
As 0.079 0.079 0.333

- size of the total moment (μB/f.u.) = 0.0
- calculated formation energy (eV per formula unit) = -1.91

A plane-wave DFT calculation with PBE-GGA was carried out for a relaxed structure of PaNi2Ge2As.

a b c (Å): 4.396 4.396 5.544
angles (deg): 90.00 90.00 90.00
Fractional positions:
Pa 0.000 0.000 0.500
Ni 0.500 0.000 0.000
Ni 0.000 0.500 0.000
Ge 0.500 0.500 0.726
Ge 0.500 0.500 0.274
As 0.000 0.000 0.000

- size of the total moment (μB/f.u.) = 0.0
- calculated formation energy (eV per formula unit) = -1.01

A plane-wave DFT calculation with PBE-GGA was carried out for a relaxed structure of Pm2Ni4Ge3As.

a b c (Å): 4.182 4.182 9.572
angles (deg): 90.00 90.00 90.00
Fractional positions:
Pm 0.500 0.000 0.248
Pm 0.000 0.500 0.752
Ni 0.500 0.500 0.000
Ni 0.000 0.000 0.000
Ni 0.500 0.000 0.622
Ni 0.000 0.500 0.378
Ge 0.000 0.000 0.500
Ge 0.500 0.000 0.873
Ge 0.000 0.500 0.127
As 0.500 0.500 0.500

- size of the total moment (μB/f.u.) = 0.0
- calculated formation energy (eV per formula unit) = -7.13

A plane-wave DFT calculation with PBE-GGA was carried out for a relaxed structure of Pm2Ni4GeAs3.

a b c (Å): 4.138 4.138 9.697
angles (deg): 90.00 90.00 90.00
Fractional positions:
Pm 0.500 0.000 0.246
Pm 0.000 0.500 0.754
Ni 0.500 0.500 0.000
Ni 0.000 0.000 0.000
Ni 0.500 0.000 0.625
Ni 0.000 0.500 0.375
Ge 0.500 0.500 0.500
As 0.000 0.000 0.500
As 0.500 0.000 0.869
As 0.000 0.500 0.131

- size of the total moment (μB/f.u.) = 0.0
- calculated formation energy (eV per formula unit) = -8.10

A plane-wave DFT calculation with PBE-GGA was carried out for a relaxed structure of Ni7Ge2As2Pt.

a b c (Å): 3.550 3.550 13.982
angles (deg): 85.97 85.97 90.80
Fractional positions:
Ni 0.500 0.500 0.000
Ni 0.386 0.386 0.414
Ni 0.614 0.614 0.586
Ni 0.963 0.462 0.138
Ni 0.462 0.963 0.138
Ni 0.538 0.037 0.862
Ni 0.037 0.538 0.862
Ge 0.867 0.867 0.422
Ge 0.133 0.133 0.578
As 0.566 0.566 0.753
As 0.434 0.434 0.247
Pt 0.000 0.000 0.000

- size of the total moment (μB/f.u.) = 0.0
- calculated formation energy (eV per formula unit) = -1.19

A plane-wave DFT calculation with PBE-GGA was carried out for a relaxed structure of Pu2Ni4Ge3As.

a b c (Å): 4.176 4.176 9.407
angles (deg): 90.00 90.00 90.00
Each line ends with the local moment (μB).
Fractional positions:
Pu 0.500 0.000 0.249  5.10
Pu 0.000 0.500 0.751  5.10
Ni 0.500 0.500 0.000  0.04
Ni 0.000 0.000 0.000  0.03
Ni 0.500 0.000 0.621  0.00
Ni 0.000 0.500 0.379  0.00
Ge 0.000 0.000 0.500  -0.02
Ge 0.500 0.000 0.871  -0.03
Ge 0.000 0.500 0.129  -0.03
As 0.500 0.500 0.500  -0.03

- size of the total moment (μB/f.u.) = 10.6
- calculated formation energy (eV per formula unit) = -5.15

A plane-wave DFT calculation with PBE-GGA was carried out for a relaxed structure of NiGeAs2Se.

a b c (Å): 4.527 4.527 5.063
angles (deg): 90.00 90.00 90.00
Fractional positions:
Ni 0.000 0.000 0.000
As 0.000 0.500 0.000
As 0.500 0.000 0.000
Ge 0.500 0.500 0.500
Se 0.000 0.000 0.500

- E_form (uncorrected) (meV per atom) = 410
- size of the total moment (μB/f.u.) = 0.0

A plane-wave DFT calculation with PBE-GGA was carried out for a relaxed structure of SiNi7Ge2As2.

a b c (Å): 3.514 3.514 13.642
angles (deg): 85.84 85.84 90.53
Fractional positions:
Si 0.000 0.000 0.000
Ni 0.500 0.500 0.000
Ni 0.366 0.366 0.420
Ni 0.634 0.634 0.580
Ni 0.963 0.464 0.127
Ni 0.464 0.963 0.127
Ni 0.536 0.037 0.873
Ni 0.037 0.536 0.873
Ge 0.571 0.571 0.754
Ge 0.429 0.429 0.246
As 0.860 0.860 0.415
As 0.140 0.140 0.585

- E_form (uncorrected) (meV per atom) = -200
- size of the total moment (μB/f.u.) = 0.0

A plane-wave DFT calculation with PBE-GGA was carried out for a relaxed structure of Ni7Sn2GeAs2.

a b c (Å): 3.585 3.585 14.795
angles (deg): 83.03 83.03 90.01
Fractional positions:
Ni 0.500 0.500 0.000
Ni 0.308 0.308 0.384
Ni 0.692 0.692 0.616
Ni 0.938 0.438 0.124
Ni 0.438 0.938 0.124
Ni 0.562 0.062 0.876
Ni 0.062 0.562 0.876
Sn 0.788 0.788 0.425
Sn 0.212 0.212 0.575
Ge 0.000 0.000 0.000
As 0.613 0.613 0.774
As 0.387 0.387 0.226

- size of the total moment (μB/f.u.) = 0.0
- calculated formation energy (eV per formula unit) = -2.73

A plane-wave DFT calculation with PBE-GGA was carried out for a relaxed structure of Ni7SnGe2As2.

a b c (Å): 3.601 3.601 13.922
angles (deg): 86.23 86.23 90.77
Fractional positions:
Ni 0.500 0.500 0.000
Ni 0.390 0.390 0.416
Ni 0.610 0.610 0.584
Ni 0.963 0.463 0.142
Ni 0.463 0.963 0.142
Ni 0.537 0.037 0.858
Ni 0.037 0.537 0.858
Sn 0.000 0.000 0.000
Ge 0.866 0.866 0.422
Ge 0.134 0.134 0.578
As 0.564 0.564 0.752
As 0.436 0.436 0.248

- size of the total moment (μB/f.u.) = 0.0
- calculated formation energy (eV per formula unit) = -1.71

A plane-wave DFT calculation with PBE-GGA was carried out for a relaxed structure of Sr2Ni4GeAs3.

a b c (Å): 4.219 4.219 9.847
angles (deg): 90.00 90.00 90.00
Fractional positions:
Sr 0.500 0.000 0.247
Sr 0.000 0.500 0.753
Ni 0.500 0.500 0.000
Ni 0.000 0.000 0.000
Ni 0.500 0.000 0.623
Ni 0.000 0.500 0.377
Ge 0.500 0.500 0.500
As 0.000 0.000 0.500
As 0.500 0.000 0.873
As 0.000 0.500 0.127

- size of the total moment (μB/f.u.) = 0.0
- calculated formation energy (eV per formula unit) = -6.24

A plane-wave DFT calculation with PBE-GGA was carried out for a relaxed structure of SrNi3GeAs.

a b c (Å): 5.733 6.247 7.080
angles (deg): 116.18 90.00 90.00
Fractional positions:
Sr 0.750 0.237 0.473
Sr 0.250 0.763 0.527
Ni 0.250 0.226 0.451
Ni 0.000 0.287 0.000
Ni 0.500 0.713 0.000
Ni 0.500 0.287 0.000
Ni 0.000 0.713 0.000
Ni 0.750 0.774 0.549
Ge 0.250 0.048 0.097
Ge 0.750 0.952 0.903
As 0.250 0.400 0.800
As 0.750 0.600 0.200

- size of the total moment (μB/f.u.) = 0.0
- calculated formation energy (eV per formula unit) = -1.79

A plane-wave DFT calculation with PBE-GGA was carried out for a relaxed structure of Tb2Ni4GeAs3.

a b c (Å): 4.072 4.072 9.748
angles (deg): 90.00 90.00 90.00
Fractional positions:
Tb 0.500 0.000 0.245
Tb 0.000 0.500 0.755
Ni 0.500 0.500 0.000
Ni 0.000 0.000 0.000
Ni 0.500 0.000 0.628
Ni 0.000 0.500 0.372
Ge 0.500 0.500 0.500
As 0.000 0.000 0.500
As 0.500 0.000 0.868
As 0.000 0.500 0.132

- size of the total moment (μB/f.u.) = 0.0
- calculated formation energy (eV per formula unit) = -7.93

A plane-wave DFT calculation with PBE-GGA was carried out for a relaxed structure of TcNiGe2As.

a b c (Å): 4.738 4.659 4.738
angles (deg): 90.00 90.00 90.00
Each line ends with the local moment (μB).
Fractional positions:
Ni 0.000 0.500 0.000  0.25
As 0.500 0.500 0.500  0.12
Ge 0.000 0.000 0.500  0.01
Ge 0.500 0.000 0.000  0.00
Tc 0.000 0.000 0.000  0.25

- size of the total moment (μB/f.u.) = 0.8
- calculated formation energy (eV per formula unit) = 4.00

A plane-wave DFT calculation with PBE-GGA was carried out for a relaxed structure of Th2Ni4GeAs3.

a b c (Å): 4.215 4.215 9.481
angles (deg): 90.00 90.00 90.00
Fractional positions:
Th 0.500 0.000 0.245
Th 0.000 0.500 0.755
Ni 0.500 0.500 0.000
Ni 0.000 0.000 0.000
Ni 0.500 0.000 0.623
Ni 0.000 0.500 0.377
Ge 0.500 0.500 0.500
As 0.000 0.000 0.500
As 0.500 0.000 0.872
As 0.000 0.500 0.128

- size of the total moment (μB/f.u.) = 0.0
- calculated formation energy (eV per formula unit) = -8.28

A plane-wave DFT calculation with PBE-GGA was carried out for a relaxed structure of TiNi7Ge2As2.

a b c (Å): 3.488 3.488 14.743
angles (deg): 83.22 83.22 90.00
Fractional positions:
Ti 0.000 0.000 0.000
Ni 0.500 0.500 0.000
Ni 0.302 0.302 0.396
Ni 0.698 0.698 0.604
Ni 0.936 0.436 0.129
Ni 0.436 0.936 0.129
Ni 0.564 0.064 0.871
Ni 0.064 0.564 0.871
Ge 0.783 0.783 0.434
Ge 0.217 0.217 0.566
As 0.618 0.618 0.763
As 0.382 0.382 0.237

- size of the total moment (μB/f.u.) = 0.0
- calculated formation energy (eV per formula unit) = -3.08

A plane-wave DFT calculation with PBE-GGA was carried out for a relaxed structure of UNi7Ge2As2.

a b c (Å): 3.906 3.906 11.787
angles (deg): 80.31 80.31 88.50
Each line ends with the local moment (μB).
Fractional positions:
U 0.000 0.000 0.000  0.61
Ni 0.500 0.500 0.000  -0.03
Ni 0.245 0.245 0.497  -0.01
Ni 0.755 0.755 0.503  -0.01
Ni 0.924 0.427 0.157  -0.03
Ni 0.427 0.924 0.157  -0.03
Ni 0.573 0.076 0.843  -0.03
Ni 0.076 0.573 0.843  -0.03
Ge 0.585 0.585 0.335  0.00
Ge 0.415 0.415 0.665  0.00
As 0.920 0.920 0.667  0.00
As 0.080 0.080 0.333  0.00

- size of the total moment (μB/f.u.) = 0.5
- calculated formation energy (eV per formula unit) = -0.97

A plane-wave DFT calculation with PBE-GGA was carried out for a relaxed structure of VNi7Ge2As2.

a b c (Å): 3.472 3.472 14.589
angles (deg): 83.22 83.22 90.01
Fractional positions:
V 0.000 0.000 0.000
Ni 0.500 0.500 0.000
Ni 0.298 0.298 0.404
Ni 0.702 0.702 0.596
Ni 0.937 0.437 0.126
Ni 0.437 0.937 0.126
Ni 0.563 0.063 0.874
Ni 0.063 0.563 0.874
Ge 0.620 0.620 0.759
Ge 0.380 0.380 0.241
As 0.786 0.786 0.429
As 0.214 0.214 0.571

- size of the total moment (μB/f.u.) = 0.0
- calculated formation energy (eV per formula unit) = -1.96